1.
20
Lattice="7.356 0.000 3.587 2.746 8.213 3.705 0.483 0.451 8.345" Properties=species:S:1:pos:R:3 comment="Ce7PuSi2 PBE optimized geometry" total_energy_ev_per_fu=-68.9 density_kg_m3=8825 crystal_system=monoclinic raw_formation_energy_mev_per_atom=-214 spacegroup=C2/c pbc="T T T"
Ce 8.487 5.563 5.966
Ce 4.866 2.392 9.046
Ce 2.098 3.101 9.671
Ce 6.879 4.707 11.450
Ce 2.585 5.463 7.131
Ce 7.197 0.375 6.366
Ce 3.654 1.682 6.481
Ce 3.706 3.956 4.188
Ce 4.698 7.533 12.134
Ce 3.389 8.288 9.271
Ce 6.931 6.982 9.157
Ce 8.001 3.201 8.507
Ce 5.720 6.272 6.591
Ce 5.888 1.131 3.504
Pu 9.289 6.272 8.332
Pu 1.297 2.392 7.306
Si 6.199 3.278 6.017
Si 2.817 1.054 3.618
Si 7.769 7.610 12.020
Si 4.386 5.386 9.621



2.
14
Lattice="4.902 -0.002 0.000 -2.453 5.777 0.000 0.000 0.000 14.795" Properties=species:S:1:pos:R:3 comment="K3Au4 PBE optimized geometry" total_energy_ev_per_fu=-18.6 polymorph_energy_kj_per_mol_atoms=0.0 density_kg_m3=7177 crystal_system=orthorhombic e_form_ev_per_fu=-2.2 spacegroup=Cmcm pbc="T T T"
K 0.000 3.128 13.294
K 2.448 2.673 1.512
K 2.448 2.672 5.896
K 2.448 5.495 11.102
K 0.000 3.127 8.909
K -0.001 0.306 3.704
Au 2.452 1.917 11.101
Au -0.003 5.063 6.187
Au 0.000 0.013 7.402
Au 0.000 0.014 0.006
Au 2.451 0.737 8.619
Au -0.004 3.883 3.704
Au -0.003 5.064 1.222
Au 2.451 0.738 13.585



Number 2 is which compound?
K3Au4



Please write out number 1 again, unchanged.
20
Lattice="7.356 0.000 3.587 2.746 8.213 3.705 0.483 0.451 8.345" Properties=species:S:1:pos:R:3 comment="Ce7PuSi2 PBE optimized geometry" total_energy_ev_per_fu=-68.9 density_kg_m3=8825 crystal_system=monoclinic raw_formation_energy_mev_per_atom=-214 spacegroup=C2/c pbc="T T T"
Ce 8.487 5.563 5.966
Ce 4.866 2.392 9.046
Ce 2.098 3.101 9.671
Ce 6.879 4.707 11.450
Ce 2.585 5.463 7.131
Ce 7.197 0.375 6.366
Ce 3.654 1.682 6.481
Ce 3.706 3.956 4.188
Ce 4.698 7.533 12.134
Ce 3.389 8.288 9.271
Ce 6.931 6.982 9.157
Ce 8.001 3.201 8.507
Ce 5.720 6.272 6.591
Ce 5.888 1.131 3.504
Pu 9.289 6.272 8.332
Pu 1.297 2.392 7.306
Si 6.199 3.278 6.017
Si 2.817 1.054 3.618
Si 7.769 7.610 12.020
Si 4.386 5.386 9.621